1.
This record from Alexandria describes AcCo2RuO6 after structural relaxation. The functional is PBE with a Hubbard U.

Computed properties:
total magnetization	5.0	Bohr magnetons per cell

Cell: 5.3612 5.3612 5.6886 Å, 61.88 61.88 60.00°
Atoms (fractional coordinates):
Ac  0.7821  0.7821  0.6538
Co  0.5289  0.5289  0.4134
Co  0.0044  0.0044  0.9868
Ru  0.3245  0.3245  0.0264
O  0.6284  0.2497  0.2141
O  0.2497  0.9078  0.2142
O  0.9078  0.6284  0.2142
O  0.3065  0.7377  0.7641
O  0.7377  0.1917  0.7641
O  0.1917  0.3065  0.7641

***

2.
This record from Alexandria describes AcCo3Ru4O12 after structural relaxation. The functional is PBE with a Hubbard U.

Computed properties:
total magnetization	1.9	Bohr magnetons per cell

Cell: 6.6004 6.6004 6.6004 Å, 109.47 109.47 109.47°
Atoms (fractional coordinates):
Ac  0.0000  0.0000  0.0000
Co  0.0000  0.5000  0.5000
Co  0.5000  0.5000  0.0000
Co  0.5000  0.0000  0.5000
Ru  0.5000  0.0000  0.0000
Ru  0.5000  0.5000  0.5000
Ru  0.0000  0.5000  0.0000
Ru  0.0000  0.0000  0.5000
O  0.3102  0.8229  0.1331
O  0.6898  0.1771  0.8669
O  0.6898  0.8229  0.5127
O  0.8669  0.6898  0.1771
O  0.8229  0.1331  0.3102
O  0.1771  0.4873  0.3102
O  0.4873  0.3102  0.1771
O  0.1771  0.8669  0.6898
O  0.3102  0.1771  0.4873
O  0.1331  0.3102  0.8229
O  0.8229  0.5127  0.6898
O  0.5127  0.6898  0.8229

***

no.,E (eV/atom)
1,-6.801
2,-7.038